# ErPaSe2, optimized geometry, DFT PBE-GGA
# **Mass density**: 9.8 g/cm3
# **Magnetic moment**: 0.00 μB per cell
# **Formation energy (no corrections)**: -1.385 eV per atom
data_ErPaSe2
_space_group_name_H-M_alt 'P 1'
_space_group_IT_number 1
_space_group_name_Hall 'P 1'
_cell_length_a 3.7580
_cell_length_b 3.7580
_cell_length_c 23.0489
_cell_angle_alpha 90.00
_cell_angle_beta 90.00
_cell_angle_gamma 120.00
loop_
_atom_site_label
_atom_site_fract_x
_atom_site_fract_y
_atom_site_fract_z
_atom_site_occupancy
Er1 0.0000 0.0000 0.0000 1
Er2 0.3333 0.6667 0.6667 1
Er3 0.6667 0.3333 0.3333 1
Pa1 0.0000 0.0000 0.1701 1
Pa2 0.3333 0.6667 0.8368 1
Pa3 0.6667 0.3333 0.5034 1
Se1 0.0000 0.0000 0.5879 1
Se2 0.0000 0.0000 0.7493 1
Se3 0.3333 0.6667 0.2545 1
Se4 0.3333 0.6667 0.4159 1
Se5 0.6667 0.3333 0.0826 1
Se6 0.6667 0.3333 0.9212 1